This record from OQMD via LeMat-Bulk describes a geometry-optimized MgNb structure. The functional is GGA-PBE.

VASP energy (eV per atom): -4.78
Spin magnetization (μB/f.u.): 0.0

Lattice parameters (Å, degrees): 4.7894 4.7894 4.9450 90.00 90.00 120.00
Space group P6_3/mmc (No. 194)
One atom of each set of equivalent atoms:
Mg 0.3333 0.6667 0.2500 [2 per cell]
Nb 0.0000 0.0000 0.0000 [2 per cell]